No. 1
! Y2SbTe PBEsol optimized geometry; values from VASP
&SYSTEM
  ibrav = 0, nat = 4, ntyp = 3
/
ATOMIC_SPECIES
Sb 121.76 Sb.upf
Te 127.60 Te.upf
Y 88.91 Y.upf
ATOMIC_POSITIONS crystal
Sb 0.500 0.500 0.500
Te 0.250 0.250 0.250
Y 0.750 0.750 0.750
Y 0.000 0.000 0.000
CELL_PARAMETERS angstrom
5.285 0.000 0.000
2.643 4.577 0.000
2.643 1.526 4.315
! **Crystal system**: cubic
! **Space group**: F-43m, No. 216


No. 2
! Y2SbTe PBEsol optimized geometry; values from VASP
&SYSTEM
  ibrav = 0, nat = 4, ntyp = 3
/
ATOMIC_SPECIES
Y 88.91 Y.upf
Sb 121.76 Sb.upf
Te 127.60 Te.upf
ATOMIC_POSITIONS crystal
Y 0.000 0.000 0.243
Y 0.000 0.000 0.757
Sb 0.500 0.500 0.000
Te 0.500 0.500 0.500
CELL_PARAMETERS angstrom
-3.403 1.425 0.585
-0.818 -0.468 -3.614
-2.631 -6.895 1.487
! **Crystal system**: tetragonal
! **Space group**: P4/mmm, No. 123


No. 3
! YSbTe2 PBEsol optimized geometry; values from VASP
&SYSTEM
  ibrav = 0, nat = 4, ntyp = 3
/
ATOMIC_SPECIES
Te 127.60 Te.upf
Sb 121.76 Sb.upf
Y 88.91 Y.upf
ATOMIC_POSITIONS crystal
Te 0.162 0.162 0.325
Te 0.838 0.838 0.675
Sb 0.000 0.500 0.000
Y 0.500 0.000 0.000
CELL_PARAMETERS angstrom
-0.126 3.263 3.047
-0.955 -3.012 3.187
6.990 -0.952 -1.965
! **Crystal system**: orthorhombic
! **Space group**: Immm, No. 71


No. 4
! YSb2Te PBEsol optimized geometry; values from VASP
&SYSTEM
  ibrav = 0, nat = 4, ntyp = 3
/
ATOMIC_SPECIES
Sb 121.76 Sb.upf
Y 88.91 Y.upf
Te 127.60 Te.upf
ATOMIC_POSITIONS crystal
Sb 0.982 0.000 0.964
Sb 0.230 0.000 0.460
Y 0.789 0.500 0.577
Te 0.499 0.500 0.998
CELL_PARAMETERS angstrom
4.254 0.000 0.000
0.000 4.588 0.000
-2.127 0.000 5.677
! **Crystal system**: orthorhombic
! **Space group**: Amm2, No. 38


No. 5
! ZnSb2Te PBEsol optimized geometry; values from VASP
&SYSTEM
  ibrav = 0, nat = 4, ntyp = 3
/
ATOMIC_SPECIES
Zn 65.41 Zn.upf
Te 127.60 Te.upf
Sb 121.76 Sb.upf
ATOMIC_POSITIONS crystal
Zn 0.500 0.500 0.500
Te 0.500 0.500 0.000
Sb 0.000 0.000 0.308
Sb 0.000 0.000 0.692
CELL_PARAMETERS angstrom
-1.955 2.194 -1.538
-1.445 -2.467 -1.682
-6.009 -0.854 6.418
! **Crystal system**: tetragonal
! **Space group**: P4/mmm, No. 123


No. 6
! ZnSb4Te PBEsol optimized geometry; values from VASP
&SYSTEM
  ibrav = 0, nat = 6, ntyp = 3
/
ATOMIC_SPECIES
Zn 65.41 Zn.upf
Te 127.60 Te.upf
Sb 121.76 Sb.upf
ATOMIC_POSITIONS crystal
Zn 0.000 0.000 0.000
Te 0.750 0.750 0.750
Sb 0.872 0.376 0.376
Sb 0.376 0.376 0.376
Sb 0.376 0.872 0.376
Sb 0.376 0.376 0.872
CELL_PARAMETERS angstrom
6.135 0.000 0.000
3.067 5.313 0.000
3.067 1.771 5.009
! **Crystal system**: cubic
! **Space group**: F-43m, No. 216


No. 7
! ZnSb2Te PBEsol optimized geometry; values from VASP
&SYSTEM
  ibrav = 0, nat = 4, ntyp = 3
/
ATOMIC_SPECIES
Zn 65.41 Zn.upf
Sb 121.76 Sb.upf
Te 127.60 Te.upf
ATOMIC_POSITIONS crystal
Zn 0.500 0.500 0.625
Sb 0.500 0.500 0.125
Te 0.000 0.000 0.625
Sb 0.000 0.000 0.125
CELL_PARAMETERS angstrom
-0.004 -3.170 -2.752
0.261 -2.747 3.163
-5.938 -0.238 0.283
! **Crystal system**: tetragonal
! **Space group**: P4/mmm, No. 123


No. 8
! ZnSb2Te PBEsol optimized geometry; values from VASP
&SYSTEM
  ibrav = 0, nat = 4, ntyp = 3
/
ATOMIC_SPECIES
Sb 121.76 Sb.upf
Zn 65.41 Zn.upf
Te 127.60 Te.upf
ATOMIC_POSITIONS crystal
Sb 0.000 0.000 0.000
Sb 0.750 0.750 0.750
Zn 0.250 0.250 0.250
Te 0.500 0.500 0.500
CELL_PARAMETERS angstrom
5.154 0.000 0.000
2.577 4.464 0.000
2.577 1.488 4.208
! **Crystal system**: cubic
! **Space group**: F-43m, No. 216


No. 9
! ZnSb2Te PBEsol optimized geometry; values from VASP
&SYSTEM
  ibrav = 0, nat = 4, ntyp = 3
/
ATOMIC_SPECIES
Zn 65.41 Zn.upf
Sb 121.76 Sb.upf
Te 127.60 Te.upf
ATOMIC_POSITIONS crystal
Zn 0.500 0.000 0.000
Sb 0.000 0.500 0.000
Te 0.500 0.500 0.500
Sb 0.000 0.000 0.500
CELL_PARAMETERS angstrom
-0.796 0.125 -3.541
-0.086 -5.163 -0.164
-5.040 0.047 1.135
! **Crystal system**: tetragonal
! **Space group**: P4/mmm, No. 123


No. 10
! ZrSbTe2 PBEsol optimized geometry; values from VASP
&SYSTEM
  ibrav = 0, nat = 4, ntyp = 3
/
ATOMIC_SPECIES
Sb 121.76 Sb.upf
Zr 91.22 Zr.upf
Te 127.60 Te.upf
ATOMIC_POSITIONS crystal
Sb 0.182 0.682 0.365
Zr 0.483 0.483 0.966
Te 0.809 0.309 0.618
Te 0.026 0.026 0.052
CELL_PARAMETERS angstrom
-3.276 -1.506 0.313
1.468 -3.708 -2.484
2.764 -0.305 6.532
! **Crystal system**: orthorhombic
! **Space group**: Imm2, No. 44


No. 11
! ZrSbTe PBEsol optimized geometry; values from VASP
&SYSTEM
  ibrav = 0, nat = 3, ntyp = 3
/
ATOMIC_SPECIES
Sb 121.76 Sb.upf
Zr 91.22 Zr.upf
Te 127.60 Te.upf
ATOMIC_POSITIONS crystal
Sb 0.000 0.000 0.000
Zr 0.250 0.250 0.250
Te 0.500 0.500 0.500
CELL_PARAMETERS angstrom
4.931 0.000 0.000
2.465 4.270 0.000
2.465 1.423 4.026
! **Crystal system**: cubic
! **Space group**: F-43m, No. 216


No. 12
! Th3Sb4 PBEsol optimized geometry; values from VASP
&SYSTEM
  ibrav = 0, nat = 14, ntyp = 2
/
ATOMIC_SPECIES
Sb 121.76 Sb.upf
Th 232.04 Th.upf
ATOMIC_POSITIONS crystal
Sb 0.839 0.000 0.000
Sb 0.161 0.161 0.661
Sb 0.000 0.500 0.339
Sb 0.000 0.500 0.839
Th 0.625 0.250 0.875
Th 0.375 0.625 0.750
Sb 0.339 0.000 0.000
Th 0.250 0.375 0.125
Sb 0.500 0.839 0.500
Th 0.875 0.750 0.625
Sb 0.500 0.339 0.500
Sb 0.661 0.661 0.161
Th 0.750 0.125 0.375
Th 0.125 0.875 0.250
CELL_PARAMETERS angstrom
-7.697 0.612 -2.374
0.254 -1.976 7.828
3.732 7.077 -1.113
! **Crystal system**: cubic
! **Space group**: I-43d, No. 220


No. 13
! Ti13Sb3 PBEsol optimized geometry; values from VASP
&SYSTEM
  ibrav = 0, nat = 16, ntyp = 2
/
ATOMIC_SPECIES
Ti 47.87 Ti.upf
Sb 121.76 Sb.upf
ATOMIC_POSITIONS crystal
Ti 0.000 0.243 0.074
Ti 0.500 0.738 0.421
Ti 0.500 0.262 0.421
Ti 0.500 0.244 0.935
Sb 0.000 0.500 0.831
Ti 0.500 0.500 0.166
Ti 0.500 0.500 0.680
Ti 0.500 0.756 0.935
Ti 0.000 0.262 0.573
Ti 0.500 0.000 0.179
Sb 0.500 0.000 0.666
Sb 0.000 0.000 0.333
Ti 0.000 0.757 0.074
Ti 0.000 0.500 0.318
Ti 0.000 0.738 0.573
Ti 0.000 0.000 0.821
CELL_PARAMETERS angstrom
4.685 0.000 0.000
0.000 5.630 0.000
0.000 0.000 10.321
! **Crystal system**: orthorhombic
! **Space group**: Pmm2, No. 25


No. 14
! TiSb2 PBEsol optimized geometry; values from VASP
&SYSTEM
  ibrav = 0, nat = 6, ntyp = 2
/
ATOMIC_SPECIES
Ti 47.87 Ti.upf
Sb 121.76 Sb.upf
ATOMIC_POSITIONS crystal
Ti 0.250 0.250 0.000
Sb 0.347 0.847 0.194
Ti 0.750 0.750 0.000
Sb 0.153 0.347 0.500
Sb 0.653 0.153 0.806
Sb 0.847 0.653 0.500
CELL_PARAMETERS angstrom
5.493 0.000 0.000
-2.525 4.878 0.000
-1.484 -2.439 4.693
! **Crystal system**: tetragonal
! **Space group**: I4/mcm, No. 140


Final energy across the listed records, respectively: -5.84; -6.49; -5.26; -5.53; -3.38; -3.50; -3.55; -3.33; -3.33; -5.47; -6.04; -7.03; -7.90; -6.28 eV per atom.
Density across the listed records, respectively: 6.79; 6.75; 5.84; 6.90; 7.46; 6.92; 6.91; 7.49; 7.48; 7.09; 6.67; 9.68; 6.02; 7.70 g/cm3.